# 1
The following is a DFT calculation (PBE-GGA) of an optimized crystal structure of ErTmInTc.

a b c (Å): 5.019 5.019 5.019
angles (deg): 60.00 60.00 60.00
Sites, in units of the cell vectors:
Tm (0.750, 0.750, 0.750)
In (0.000, 0.000, 0.000)
Tc (0.500, 0.500, 0.500)
Er (0.250, 0.250, 0.250)

Its formation energy is -0.1856 eV per atom.

# 2
The following is a DFT calculation (PBE-GGA) of an optimized crystal structure of YErInTc.

a b c (Å): 5.058 5.058 5.058
angles (deg): 60.00 60.00 60.00
Sites, in units of the cell vectors:
Y (0.500, 0.500, 0.500)
In (0.250, 0.250, 0.250)
Tc (0.750, 0.750, 0.750)
Er (0.000, 0.000, 0.000)

Its formation energy is -0.1678 eV per atom.

# 3
The following is a DFT calculation (PBE-GGA) of an optimized crystal structure of Er5In2Te.

a b c (Å): 5.989 6.898 12.801
angles (deg): 90.00 90.00 115.73
Sites, in units of the cell vectors:
Er (0.931, 0.861, 0.898)
Er (0.931, 0.861, 0.602)
Er (0.378, 0.756, 0.454)
Er (0.378, 0.756, 0.046)
Er (0.593, 0.187, 0.250)
Er (0.407, 0.813, 0.750)
Er (0.622, 0.244, 0.546)
Er (0.622, 0.244, 0.954)
Er (0.069, 0.139, 0.102)
Er (0.069, 0.139, 0.398)
In (0.813, 0.626, 0.374)
In (0.813, 0.626, 0.126)
In (0.187, 0.374, 0.626)
In (0.187, 0.374, 0.874)
Te (0.748, 0.496, 0.750)
Te (0.252, 0.504, 0.250)

The formation energy from raw total energies is -0.266 eV per atom.

# 4
The following is a DFT calculation (PBE-GGA) of an optimized crystal structure of Er6In2Te.

a b c (Å): 3.860 8.671 8.671
angles (deg): 120.00 90.00 90.00
Site moments in Bohr magnetons follow the coordinates.
Sites, in units of the cell vectors:
Er (0.500, 0.612, 0.000)  0.10
Er (0.500, 0.388, 0.388)  0.10
Er (0.500, 0.000, 0.612)  0.10
Er (0.000, 0.278, 0.000)  0.11
Er (0.000, 0.722, 0.722)  0.11
Er (0.000, 0.000, 0.278)  0.11
In (0.000, 0.333, 0.667)  0.00
In (0.000, 0.667, 0.333)  0.00
Te (0.500, 0.000, 0.000)  0.00

The formation energy from raw total energies is -0.478 eV per atom.

# 5
The following is a DFT calculation (PBE-GGA) of an optimized crystal structure of Er3InTe.

a b c (Å): 6.317 8.936 11.904
angles (deg): 122.31 90.00 90.00
Sites, in units of the cell vectors:
Er (0.081, 0.741, 0.706)
Er (0.919, 0.259, 0.294)
Er (0.581, 0.759, 0.794)
Er (0.419, 0.241, 0.206)
Er (0.645, 0.644, 0.468)
Er (0.355, 0.356, 0.532)
Er (0.145, 0.856, 0.032)
Er (0.855, 0.144, 0.968)
Er (0.218, 0.540, 0.124)
Er (0.782, 0.460, 0.876)
Er (0.718, 0.960, 0.376)
Er (0.282, 0.040, 0.624)
In (0.785, 0.021, 0.670)
In (0.215, 0.979, 0.330)
In (0.285, 0.479, 0.830)
In (0.715, 0.521, 0.170)
Te (0.166, 0.604, 0.411)
Te (0.834, 0.396, 0.589)
Te (0.666, 0.896, 0.089)
Te (0.334, 0.104, 0.911)

The formation energy from raw total energies is -0.526 eV per atom.

# 6
The following is a DFT calculation (PBE-GGA) of an optimized crystal structure of Er8InTe2.

a b c (Å): 5.797 8.069 8.069
angles (deg): 116.24 98.19 98.19
Sites, in units of the cell vectors:
Er (0.865, 0.914, 0.682)
Er (0.865, 0.682, 0.914)
Er (0.302, 0.602, 0.602)
Er (0.500, 0.760, 0.240)
Er (0.500, 0.240, 0.760)
Er (0.698, 0.398, 0.398)
Er (0.135, 0.318, 0.086)
Er (0.135, 0.086, 0.318)
In (0.500, 0.000, 0.000)
Te (0.000, 0.305, 0.695)
Te (0.000, 0.695, 0.305)

The formation energy from raw total energies is -0.380 eV per atom.

# 7
The following is a DFT calculation (PBE-GGA) of an optimized crystal structure of ErIn3Te6.

a b c (Å): 4.379 12.891 12.178
angles (deg): 110.95 90.00 90.00
Sites, in units of the cell vectors:
Er (0.750, 0.050, 0.704)
Er (0.250, 0.950, 0.296)
In (0.750, 0.439, 0.838)
In (0.250, 0.561, 0.162)
In (0.750, 0.702, 0.472)
In (0.250, 0.298, 0.528)
In (0.750, 0.169, 0.099)
In (0.250, 0.831, 0.901)
Te (0.750, 0.459, 0.607)
Te (0.250, 0.541, 0.393)
Te (0.750, 0.932, 0.096)
Te (0.250, 0.068, 0.904)
Te (0.750, 0.395, 0.062)
Te (0.250, 0.605, 0.938)
Te (0.750, 0.757, 0.262)
Te (0.250, 0.243, 0.738)
Te (0.750, 0.092, 0.462)
Te (0.250, 0.908, 0.538)
Te (0.750, 0.808, 0.728)
Te (0.250, 0.192, 0.272)

The formation energy from raw total energies is -0.488 eV per atom.

# 8
The following is a DFT calculation (PBE-GGA) of an optimized crystal structure of Er8InTe6.

a b c (Å): 4.081 11.296 11.296
angles (deg): 120.00 90.00 90.00
Sites, in units of the cell vectors:
Er (0.756, 0.720, 0.971)
Er (0.756, 0.029, 0.750)
Er (0.756, 0.250, 0.280)
Er (0.244, 0.280, 0.029)
Er (0.244, 0.971, 0.250)
Er (0.244, 0.750, 0.720)
Er (0.755, 0.667, 0.333)
Er (0.245, 0.333, 0.667)
In (0.500, 0.000, 0.000)
Te (0.742, 0.529, 0.657)
Te (0.742, 0.343, 0.872)
Te (0.742, 0.128, 0.471)
Te (0.258, 0.471, 0.343)
Te (0.258, 0.657, 0.128)
Te (0.258, 0.872, 0.529)

The formation energy from raw total energies is -0.848 eV per atom.

# 9
The following is a DFT calculation (PBE-GGA) of an optimized crystal structure of Er6InTe2.

a b c (Å): 3.850 7.971 8.967
angles (deg): 97.16 90.00 103.97
Sites, in units of the cell vectors:
Er (0.935, 0.871, 0.815)
Er (0.760, 0.521, 0.176)
Er (0.240, 0.479, 0.824)
Er (0.659, 0.317, 0.501)
Er (0.341, 0.683, 0.499)
Er (0.065, 0.129, 0.185)
In (0.000, 0.000, 0.500)
Te (0.602, 0.203, 0.915)
Te (0.398, 0.797, 0.085)

The formation energy from raw total energies is -0.548 eV per atom.

# 10
The following is a DFT calculation (PBE-GGA) of an optimized crystal structure of ErIn2Te3.

a b c (Å): 4.266 8.735 11.354
angles (deg): 78.17 90.00 90.00
Sites, in units of the cell vectors:
Er (0.250, 0.724, 0.850)
Er (0.750, 0.276, 0.150)
In (0.250, 0.268, 0.554)
In (0.750, 0.732, 0.446)
In (0.750, 0.092, 0.921)
In (0.250, 0.908, 0.079)
Te (0.750, 0.956, 0.715)
Te (0.250, 0.044, 0.285)
Te (0.750, 0.407, 0.375)
Te (0.250, 0.593, 0.625)
Te (0.250, 0.352, 0.944)
Te (0.750, 0.648, 0.056)

The formation energy from raw total energies is -0.587 eV per atom.

# 11
The following is a DFT calculation (PBE-GGA) of an optimized crystal structure of ErInTe3.

a b c (Å): 7.653 7.855 11.180
angles (deg): 90.00 98.81 90.00
Sites, in units of the cell vectors:
Er (0.949, 0.628, 0.292)
Er (0.551, 0.128, 0.208)
Er (0.051, 0.372, 0.708)
Er (0.449, 0.872, 0.792)
In (0.361, 0.636, 0.114)
In (0.139, 0.136, 0.386)
In (0.639, 0.364, 0.886)
In (0.861, 0.864, 0.614)
Te (0.164, 0.692, 0.564)
Te (0.336, 0.192, 0.936)
Te (0.836, 0.308, 0.436)
Te (0.664, 0.808, 0.064)
Te (0.853, 0.069, 0.818)
Te (0.647, 0.569, 0.682)
Te (0.147, 0.931, 0.182)
Te (0.353, 0.431, 0.318)
Te (0.658, 0.833, 0.385)
Te (0.842, 0.333, 0.115)
Te (0.342, 0.167, 0.615)
Te (0.158, 0.667, 0.885)

The formation energy from raw total energies is -0.705 eV per atom. For the energy relative to the lowest polymorph listed for this composition, the calculation gives 127 meV/atom.

# 12
The following is a DFT calculation (PBE-GGA) of an optimized crystal structure of ErInTe4.

a b c (Å): 6.203 7.885 10.024
angles (deg): 90.00 90.00 112.40
Sites, in units of the cell vectors:
Er (0.092, 0.677, 0.750)
Er (0.908, 0.323, 0.250)
In (0.721, 0.137, 0.750)
In (0.279, 0.863, 0.250)
Te (0.614, 0.758, 0.750)
Te (0.386, 0.242, 0.250)
Te (0.255, 0.091, 0.750)
Te (0.745, 0.909, 0.250)
Te (0.926, 0.643, 0.055)
Te (0.074, 0.357, 0.555)
Te (0.926, 0.643, 0.445)
Te (0.074, 0.357, 0.945)

The formation energy from raw total energies is -0.556 eV per atom.

# 13
The following is a DFT calculation (PBE-GGA) of an optimized crystal structure of Er2InTe4.

a b c (Å): 9.004 9.004 9.004
angles (deg): 119.97 90.06 119.97
Sites, in units of the cell vectors:
In (0.750, 0.500, 0.250)
In (0.000, 0.000, 0.000)
Te (0.615, 0.231, 0.847)
Te (0.135, 0.731, 0.865)
Te (0.616, 0.769, 0.385)
Te (0.134, 0.269, 0.403)
Te (0.615, 0.231, 0.385)
Te (0.597, 0.731, 0.865)
Te (0.135, 0.269, 0.866)
Te (0.153, 0.769, 0.384)
Er (0.375, 0.750, 0.625)
Er (0.375, 0.250, 0.625)
Er (0.875, 0.250, 0.625)
Er (0.375, 0.750, 0.125)

The formation energy from raw total energies is -1.034 eV per atom. For the energy relative to the lowest polymorph listed for this composition, the calculation gives 0 meV/atom.

# 14
The following is a DFT calculation (PBE-GGA) of an optimized crystal structure of ErInTe3.

a b c (Å): 4.427 7.297 13.043
angles (deg): 106.25 90.00 90.00
Sites, in units of the cell vectors:
Er (0.250, 0.059, 0.652)
Er (0.750, 0.407, 0.348)
In (0.250, 0.785, 0.257)
In (0.750, 0.528, 0.743)
Te (0.750, 0.920, 0.771)
Te (0.750, 0.565, 0.152)
Te (0.750, 0.237, 0.541)
Te (0.250, 0.413, 0.848)
Te (0.250, 0.149, 0.229)
Te (0.250, 0.696, 0.459)

The formation energy from raw total energies is -0.832 eV per atom. For the energy relative to the lowest polymorph listed for this composition, the calculation gives 0 meV/atom.

# 15
The following is a DFT calculation (PBE-GGA) of an optimized crystal structure of Er8In2Te.

a b c (Å): 4.999 6.836 9.968
angles (deg): 101.38 104.52 90.00
Sites, in units of the cell vectors:
Er (0.405, 0.524, 0.811)
Er (0.656, 0.992, 0.312)
Er (0.785, 0.682, 0.570)
Er (0.976, 0.244, 0.952)
Er (0.215, 0.318, 0.430)
Er (0.344, 0.008, 0.688)
Er (0.595, 0.476, 0.189)
Er (0.024, 0.756, 0.048)
In (0.815, 0.243, 0.630)
In (0.185, 0.757, 0.370)
Te (0.500, 0.000, 0.000)

The formation energy from raw total energies is -0.321 eV per atom.

# 16
The following is a DFT calculation (PBE-GGA) of an optimized crystal structure of Er2InTe5.

a b c (Å): 6.141 8.016 13.540
angles (deg): 90.00 90.00 112.52
Sites, in units of the cell vectors:
Er (0.832, 0.664, 0.435)
Er (0.832, 0.664, 0.065)
Er (0.168, 0.336, 0.565)
Er (0.168, 0.336, 0.935)
In (0.802, 0.605, 0.750)
In (0.198, 0.395, 0.250)
Te (0.966, 0.932, 0.894)
Te (0.966, 0.932, 0.606)
Te (0.324, 0.648, 0.420)
Te (0.324, 0.648, 0.080)
Te (0.717, 0.434, 0.250)
Te (0.283, 0.566, 0.750)
Te (0.676, 0.352, 0.580)
Te (0.676, 0.352, 0.920)
Te (0.034, 0.068, 0.106)
Te (0.034, 0.068, 0.394)

The formation energy from raw total energies is -0.814 eV per atom.

# 17
The following is a DFT calculation (PBE-GGA) of an optimized crystal structure of Er2In2Te7.

a b c (Å): 7.703 8.070 8.070
angles (deg): 111.07 102.27 102.27
Sites, in units of the cell vectors:
Er (0.000, 0.310, 0.690)
Er (0.000, 0.690, 0.310)
In (0.364, 0.258, 0.258)
In (0.636, 0.742, 0.742)
Te (0.768, 0.899, 0.521)
Te (0.232, 0.479, 0.101)
Te (0.232, 0.101, 0.479)
Te (0.768, 0.521, 0.899)
Te (0.500, 0.000, 0.000)
Te (0.231, 0.653, 0.653)
Te (0.769, 0.347, 0.347)

The formation energy from raw total energies is -0.617 eV per atom.

# 18
The following is a DFT calculation (PBE-GGA) of an optimized crystal structure of Er4InTe3.

a b c (Å): 4.285 7.568 7.568
angles (deg): 108.91 90.00 90.00
Sites, in units of the cell vectors:
Er (0.000, 0.240, 0.240)
Er (0.500, 0.758, 0.242)
Er (0.000, 0.760, 0.760)
Er (0.500, 0.242, 0.758)
In (0.500, 0.000, 0.000)
Te (0.000, 0.000, 0.500)
Te (0.500, 0.500, 0.500)
Te (0.000, 0.500, 0.000)

The formation energy from raw total energies is -1.033 eV per atom.

# 19
The following is a DFT calculation (PBE-GGA) of an optimized crystal structure of Er2InTe4.

a b c (Å): 4.323 7.677 8.723
angles (deg): 118.71 104.35 90.00
Sites, in units of the cell vectors:
Er (0.740, 0.760, 0.481)
Er (0.260, 0.240, 0.519)
In (0.000, 0.000, 0.000)
Te (0.877, 0.211, 0.754)
Te (0.123, 0.789, 0.246)
Te (0.640, 0.297, 0.280)
Te (0.360, 0.703, 0.720)

The formation energy from raw total energies is -1.016 eV per atom. For the energy relative to the lowest polymorph listed for this composition, the calculation gives 18 meV/atom.

# 20
The following is a DFT calculation (PBE-GGA) of an optimized crystal structure of ErIn2Te4.

a b c (Å): 6.963 6.963 6.963
angles (deg): 106.91 106.91 114.73
Sites, in units of the cell vectors:
Er (0.500, 0.500, 0.000)
In (0.250, 0.750, 0.500)
In (0.750, 0.250, 0.500)
Te (0.306, 0.191, 0.497)
Te (0.809, 0.306, 0.116)
Te (0.191, 0.694, 0.884)
Te (0.694, 0.809, 0.503)

The formation energy from raw total energies is -0.441 eV per atom.